This record from the Open Quantum Materials Database describes crystalline TbYIr2C2N2 at its relaxed geometry. The functional is PBE.

The structure belongs to space group P4mm (No. 99); the cell edges are 3.732, 3.732 and 7.322 Å and the angles 90.00°, 90.00° and 90.00°. The asymmetric unit holds Tb at (0.000, 0.000, 0.000), Y at (0.500, 0.500, 0.666), Ir at (0.000, 0.500, 0.333), C at (0.000, 0.000, 0.492), C at (0.500, 0.500, 0.172), N at (0.000, 0.000, 0.682) and N at (0.500, 0.500, 0.982).

The total energy comes out at -8.49 eV per atom.